PuPtO6 | Alexandria via LeMat-Bulk | GGA-PBE | optimized geometry; space group = P-31c; formation energy from raw total energies = -1248 meV/atom
1.0
5.083 0.000 0.000
-2.541 4.402 0.000
0.000 0.000 9.249
Pu Pt O
2 2 12
Cartesian
0.000 2.934 2.312 Pu
2.541 1.467 6.937 Pu
0.000 0.000 0.000 Pt
0.000 0.000 4.625 Pt
-0.714 1.456 1.143 O
-1.638 3.055 3.482 O
0.714 1.456 3.482 O
-0.923 4.292 1.143 O
1.618 0.109 5.768 O
0.904 1.347 8.106 O
1.638 3.055 1.143 O
0.923 4.292 3.482 O
3.465 0.109 8.106 O
1.827 2.946 5.768 O
4.179 1.347 5.768 O
3.256 2.946 8.106 O

***

PuPtO2 | Alexandria via LeMat-Bulk | GGA-PBE | optimized geometry; space group = R-3m; formation energy from raw total energies = -761 meV/atom
1.0
1.860 1.074 5.528
-1.860 1.074 5.528
0.000 -2.148 5.528
Pu Pt O
1 1 2
Cartesian
0.000 0.000 0.000 Pu
0.000 0.000 8.292 Pt
0.000 0.000 2.084 O
0.000 0.000 14.500 O

***

Pu4Pt2O | Alexandria via LeMat-Bulk | GGA-PBE | optimized geometry; space group = I4/mmm; formation energy from raw total energies = -1035 meV/atom
1.0
-2.298 2.298 7.600
2.298 -2.298 7.600
2.298 2.298 -7.600
Pu Pt O
4 2 1
Cartesian
2.298 0.000 0.000 Pu
0.000 0.000 2.789 Pu
0.000 2.298 0.000 Pu
0.000 0.000 12.412 Pu
0.000 0.000 5.603 Pt
0.000 0.000 9.597 Pt
0.000 0.000 0.000 O

***

PuPtO5 | Alexandria via LeMat-Bulk | GGA-PBE | optimized geometry; space group = C2/c; formation energy from raw total energies = -1542 meV/atom
1.0
4.317 -3.292 0.000
4.317 3.292 0.000
-3.081 0.000 6.695
Pu Pt O
2 2 10
Cartesian
2.007 3.094 5.022 Pu
3.547 -3.094 1.674 Pu
4.317 0.000 0.000 Pt
2.777 0.000 3.348 Pt
4.122 1.989 0.245 O
2.972 1.989 3.102 O
0.999 0.200 2.464 O
-0.541 -0.200 5.812 O
2.007 0.735 5.022 O
3.547 -0.735 1.674 O
6.095 0.200 0.883 O
4.555 -0.200 4.231 O
2.582 -1.989 3.593 O
1.431 -1.989 6.450 O

***

PuPtO | Alexandria via LeMat-Bulk | GGA-PBE | optimized geometry; space group = I4/mmm; formation energy from raw total energies = -1468 meV/atom
1.0
-1.837 1.837 7.776
1.837 -1.837 7.776
1.837 1.837 -7.776
Pu Pt O
2 2 2
Cartesian
0.000 0.000 1.443 Pu
0.000 0.000 14.110 Pu
0.000 0.000 4.275 Pt
0.000 0.000 11.278 Pt
1.837 0.000 0.000 O
0.000 1.837 0.000 O

***

Pu8Pt5O | Alexandria via LeMat-Bulk | GGA-PBE | optimized geometry; space group = I-4; formation energy from raw total energies = -785 meV/atom
1.0
-4.187 4.187 4.541
4.187 -4.187 4.541
4.187 4.187 -4.541
Pu Pt O
8 5 1
Cartesian
3.651 1.861 0.287 Pu
0.536 1.551 1.448 Pu
2.327 -0.536 4.255 Pu
1.861 4.723 -0.287 Pu
-2.637 3.651 3.093 Pu
0.536 2.327 4.828 Pu
2.637 4.723 3.093 Pu
-0.536 6.824 1.448 Pu
2.307 -0.917 1.360 Pt
5.104 -1.880 3.181 Pt
6.068 0.917 1.360 Pt
3.271 1.880 3.181 Pt
0.000 4.187 2.271 Pt
0.000 0.000 4.541 O

***

RbPuPtO6 | Alexandria via LeMat-Bulk | GGA-PBE | optimized geometry; space group = Imma; formation energy from raw total energies = -1635 meV/atom
1.0
-3.628 3.907 5.273
3.628 -3.907 5.273
3.628 3.907 -5.273
Rb Pu Pt O
2 2 2 12
Cartesian
0.000 1.954 1.195 Rb
3.628 1.954 4.078 Rb
3.628 0.000 0.000 Pu
0.000 0.000 5.273 Pu
1.814 1.954 -2.636 Pt
1.814 -1.954 2.636 Pt
2.201 -0.498 1.314 O
5.055 -0.498 1.314 O
3.628 -1.954 3.453 O
2.201 3.409 -1.314 O
1.427 -0.498 3.959 O
3.628 1.954 0.776 O
0.000 1.954 4.497 O
2.201 4.406 1.314 O
1.427 0.498 6.587 O
0.000 5.861 1.820 O
-1.427 4.406 3.959 O
1.427 4.406 3.959 O

***

Rb2Pu3PtO12 | Alexandria via LeMat-Bulk | GGA-PBE | optimized geometry; space group = R-3m; formation energy from raw total energies = -2110 meV/atom
1.0
3.913 2.259 5.995
-3.913 2.259 5.995
0.000 -4.518 5.995
Rb Pu Pt O
2 3 1 12
Cartesian
0.000 0.000 2.340 Rb
0.000 0.000 15.646 Rb
-1.956 -1.130 5.995 Pu
-1.956 1.130 11.991 Pu
0.000 2.259 5.995 Pu
0.000 0.000 8.993 Pt
0.000 -1.727 5.533 O
-1.496 0.864 5.533 O
-1.473 -0.850 7.918 O
0.000 -1.701 10.068 O
-1.473 0.850 10.068 O
-1.496 -0.864 12.453 O
1.496 0.864 5.533 O
1.473 -0.850 7.918 O
0.000 1.701 7.918 O
1.473 0.850 10.068 O
1.496 -0.864 12.453 O
0.000 1.727 12.453 O